VASP calculation (GGA-PBE) on a relaxed structure of YCrNi2Ag.

It has space group P4/mmm (No. 123), with a = 4.6695 Å, b = 4.6695 Å, c = 5.1150 Å, α = 90.00°, β = 90.00° and γ = 90.00°. The asymmetric unit holds Y at (0.0000, 0.0000, 0.0000), Cr at (0.0000, 0.0000, 0.5000), Ni at (0.0000, 0.5000, 0.0000) and Ag at (0.5000, 0.5000, 0.5000).

For the calculated total energy, the calculation gives -4.623 eV per atom. The formation energy from the elements comes out at 1477.5 meV per atom. The calculation puts the density of states at the Fermi level at 0.739 states/eV/atom. The calculation puts the calculated volume at 22.31 A^3/atom. The calculation puts the total magnetization at 4.177 μB per cell.

=====

VASP calculation (GGA-PBE) on a relaxed structure of Rb2Ge2Sb.

It has space group P4/mbm (No. 127), with a = 10.4431 Å, b = 10.4431 Å, c = 3.1908 Å, α = 90.00°, β = 90.00° and γ = 90.00°. The asymmetric unit holds Rb at (0.2126, 0.2874, 0.0000), Ge at (0.0804, 0.5804, 0.5000) and Sb at (0.0000, 0.0000, 0.5000).

For the calculated total energy, the calculation gives -2.896 eV per atom. The calculation puts the density of states at the Fermi level at 0.369 states/eV/atom. The calculation puts the calculated volume at 34.80 A^3/atom. The calculation puts the total magnetization at 0.000 μB per cell.

=====

VASP calculation (GGA-PBE) on a relaxed structure of MgBAu3.

It has space group Pm-3m (No. 221), with a = 4.9503 Å, b = 4.9503 Å, c = 4.9503 Å, α = 90.00°, β = 90.00° and γ = 90.00°. The asymmetric unit holds Mg at (0.0000, 0.0000, 0.0000), B at (0.5000, 0.5000, 0.5000) and Au at (0.0000, 0.0000, 0.5000).

For the calculated total energy, the calculation gives -2.292 eV per atom. The formation energy from the elements comes out at 1328.8 meV per atom. The calculation puts the density of states at the Fermi level at 0.345 states/eV/atom. The calculation puts the calculated volume at 24.26 A^3/atom. The calculation puts the total magnetization at 0.000 μB per cell.

=====

VASP calculation (GGA-PBE) on a relaxed structure of PrZnRu.

It has space group I4mm (No. 107), with a = 3.4826 Å, b = 3.4826 Å, c = 10.0109 Å, α = 90.00°, β = 90.00° and γ = 90.00°. The asymmetric unit holds Pr at (0.0000, 0.0000, 0.0000), Zn at (0.0000, 0.0000, 0.7081) and Ru at (0.0000, 0.0000, 0.3075).

For the calculated total energy, the calculation gives -5.201 eV per atom. The formation energy from the elements comes out at -91.1 meV per atom. The calculation puts the density of states at the Fermi level at 0.707 states/eV/atom. The calculation puts the calculated volume at 20.24 A^3/atom. The calculation puts the total magnetization at 0.000 μB per cell.

=====

VASP calculation (GGA-PBE) on a relaxed structure of CeZn3Ag9.

It has space group C2/m (No. 12), with a = 5.3191 Å, b = 13.4749 Å, c = 7.1181 Å, α = 90.00°, β = 109.06° and γ = 90.00°. The asymmetric unit holds Ce at (0.0000, 0.0000, 0.0000), Zn at (0.0000, 0.5000, 0.5000), Zn at (0.2500, 0.2500, 0.0000), Ag at (0.0000, 0.0000, 0.5000), Ag at (0.0916, 0.3907, 0.2143) and Ag at (0.1542, 0.1785, 0.3439).

For the calculated total energy, the calculation gives -2.808 eV per atom. The formation energy from the elements comes out at -83.2 meV per atom. The calculation puts the density of states at the Fermi level at 0.909 states/eV/atom. The calculation puts the calculated volume at 18.55 A^3/atom. The calculation puts the total magnetization at 2.161 μB per cell.

=====

VASP calculation (GGA-PBE) on a relaxed structure of CaAc2Th.

It has space group P4/mmm (No. 123), with a = 5.4758 Å, b = 5.4758 Å, c = 5.2990 Å, α = 90.00°, β = 90.00° and γ = 90.00°. The asymmetric unit holds Ca at (0.0000, 0.0000, 0.0000), Ac at (0.0000, 0.5000, 0.5000) and Th at (0.5000, 0.5000, 0.0000).

For the calculated total energy, the calculation gives -4.244 eV per atom. The formation energy from the elements comes out at 166.0 meV per atom. The calculation puts the density of states at the Fermi level at 1.377 states/eV/atom. The calculation puts the calculated volume at 39.72 A^3/atom. The calculation puts the total magnetization at 0.000 μB per cell.

=====

VASP calculation (GGA-PBE) on a relaxed structure of KVReTc2.

It has space group P4/mmm (No. 123), with a = 4.7086 Å, b = 4.7086 Å, c = 5.3270 Å, α = 90.00°, β = 90.00° and γ = 90.00°. The asymmetric unit holds K at (0.0000, 0.0000, 0.0000), V at (0.5000, 0.5000, 0.0000), Re at (0.0000, 0.0000, 0.5000) and Tc at (0.0000, 0.5000, 0.5000).

For the calculated total energy, the calculation gives -6.379 eV per atom. The formation energy from the elements comes out at 2300.1 meV per atom. The calculation puts the density of states at the Fermi level at 1.962 states/eV/atom. The calculation puts the calculated volume at 23.62 A^3/atom. The calculation puts the total magnetization at 1.343 μB per cell.

=====

VASP calculation (GGA-PBE) on a relaxed structure of TcW.

It has space group Fd-3m (No. 227, origin choice 2), with a = 6.2773 Å, b = 6.2773 Å, c = 6.2773 Å, α = 90.00°, β = 90.00° and γ = 90.00°. The asymmetric unit holds Tc at (0.1250, 0.1250, 0.1250) and W at (0.1250, 0.1250, 0.6250).

For the calculated total energy, the calculation gives -11.521 eV per atom. The formation energy from the elements comes out at 138.3 meV per atom. The calculation puts the density of states at the Fermi level at 0.763 states/eV/atom. The calculation puts the calculated volume at 15.46 A^3/atom. The calculation puts the total magnetization at 0.000 μB per cell.

=====

VASP calculation (GGA-PBE) on a relaxed structure of HgIrW2.

It has space group P4/mmm (No. 123), with a = 2.8093 Å, b = 2.8093 Å, c = 8.3982 Å, α = 90.00°, β = 90.00° and γ = 90.00°. The asymmetric unit holds Hg at (0.0000, 0.0000, 0.0000), Ir at (0.0000, 0.0000, 0.5000) and W at (0.5000, 0.5000, 0.2698).

For the calculated total energy, the calculation gives -8.462 eV per atom. The formation energy from the elements comes out at 305.8 meV per atom. The calculation puts the density of states at the Fermi level at 0.418 states/eV/atom. The calculation puts the calculated volume at 16.57 A^3/atom. The calculation puts the total magnetization at 0.000 μB per cell.

=====

VASP calculation (GGA-PBE) on a relaxed structure of Lu3Pa.

It has space group Pmm2 (No. 25), with a = 3.3975 Å, b = 5.5360 Å, c = 6.0021 Å, α = 90.00°, β = 90.00° and γ = 90.00°. The asymmetric unit holds Lu at (0.0000, 0.0000, 0.0000), Lu at (0.0000, 0.5000, 0.3256), Lu at (0.5000, 0.5000, 0.8123) and Pa at (0.5000, 0.0000, 0.4858).

For the calculated total energy, the calculation gives -5.596 eV per atom. The formation energy from the elements comes out at 169.0 meV per atom. The calculation puts the density of states at the Fermi level at 1.946 states/eV/atom. The calculation puts the calculated volume at 28.22 A^3/atom. The calculation puts the total magnetization at 0.143 μB per cell.

=====

VASP calculation (GGA-PBE) on a relaxed structure of La3PbN.

It has space group P2_1/c (No. 14), with a = 9.5920 Å, b = 6.6900 Å, c = 9.7395 Å, α = 90.00°, β = 115.36° and γ = 90.00°. The asymmetric unit holds La at (0.0417, 0.0948, 0.3448), La at (0.1717, 0.5874, 0.5297), La at (0.3483, 0.1433, 0.7497), Pb at (0.3760, 0.6649, 0.8935) and N at (0.0800, 0.2386, 0.5991).

For the calculated total energy, the calculation gives -6.123 eV per atom. The calculation puts the density of states at the Fermi level at 0.772 states/eV/atom. The calculation puts the calculated volume at 28.24 A^3/atom. The calculation puts the total magnetization at 0.000 μB per cell.

=====

VASP calculation (GGA-PBE) on a relaxed structure of Li3TiV2Se6.

It has space group C2/m (No. 12), with a = 6.1826 Å, b = 10.7421 Å, c = 6.8449 Å, α = 90.00°, β = 107.07° and γ = 90.00°. The asymmetric unit holds Li at (0.0000, 0.0000, 0.0000), Li at (0.0000, 0.3219, 0.0000), Ti at (0.0000, 0.5000, 0.5000), V at (0.0000, 0.1299, 0.5000), Se at (0.2404, 0.5000, 0.2432) and Se at (0.2423, 0.3267, 0.7200).

For the calculated total energy, the calculation gives -5.377 eV per atom. The calculation puts the density of states at the Fermi level at 0.228 states/eV/atom. The calculation puts the calculated volume at 18.11 A^3/atom. The calculation puts the total magnetization at 2.154 μB per cell.